# GGA-PBE Tl2Si2Pb, relaxed
# Energy above the most stable polymorph in this dataset: 0 meV per atom
data_Tl2Si2Pb
_cell_length_a 3.474
_cell_length_b 3.474
_cell_length_c 10.934
_cell_angle_alpha 80.86
_cell_angle_beta 80.86
_cell_angle_gamma 90.00
_space_group_name_H-M_alt 'P 1'
_space_group_IT_number 1
loop_
_space_group_symop_operation_xyz
'x,y,z'
loop_
_atom_site_label
_atom_site_type_symbol
_atom_site_fract_x
_atom_site_fract_y
_atom_site_fract_z
_atom_site_occupancy
Pb1 Pb 0.000 0.000 0.000 1
Tl1 Tl 0.376 0.376 0.248 1
Tl2 Tl 0.624 0.624 0.752 1
Si1 Si 0.750 0.250 0.500 1
Si2 Si 0.250 0.750 0.500 1

---

# GGA-PBE TeMoRh, relaxed
# Energy above the most stable polymorph in this dataset: 110 meV per atom
data_TeMoRh
_cell_length_a 4.842
_cell_length_b 4.842
_cell_length_c 4.842
_cell_angle_alpha 141.17
_cell_angle_beta 131.79
_cell_angle_gamma 63.55
_space_group_name_H-M_alt 'P 1'
_space_group_IT_number 1
loop_
_space_group_symop_operation_xyz
'x,y,z'
loop_
_atom_site_label
_atom_site_type_symbol
_atom_site_fract_x
_atom_site_fract_y
_atom_site_fract_z
_atom_site_occupancy
Mo1 Mo 0.003 0.003 0.000 1
Rh1 Rh 0.662 0.662 0.000 1
Te1 Te 0.335 0.335 0.000 1

---

# GGA-PBE NaZrCu3Se4, relaxed
# Total DFT energy (no corrections): -4.697 eV per atom
data_NaZrCu3Se4
_cell_length_a 6.027
_cell_length_b 6.027
_cell_length_c 6.027
_cell_angle_alpha 90.00
_cell_angle_beta 90.00
_cell_angle_gamma 90.00
_space_group_name_H-M_alt 'P 1'
_space_group_IT_number 1
loop_
_space_group_symop_operation_xyz
'x,y,z'
loop_
_atom_site_label
_atom_site_type_symbol
_atom_site_fract_x
_atom_site_fract_y
_atom_site_fract_z
_atom_site_occupancy
Na1 Na 0.500 0.500 0.500 1
Zr1 Zr 0.000 0.000 0.000 1
Cu1 Cu 0.000 0.500 0.000 1
Cu2 Cu 0.000 0.000 0.500 1
Cu3 Cu 0.500 0.000 0.000 1
Se1 Se 0.240 0.240 0.240 1
Se2 Se 0.760 0.760 0.240 1
Se3 Se 0.240 0.760 0.760 1
Se4 Se 0.760 0.240 0.760 1

---

# GGA-PBE Li5Zn2Au, relaxed
# Energy above the most stable polymorph in this dataset: 0 meV per atom
data_Li5Zn2Au
_cell_length_a 4.044
_cell_length_b 4.044
_cell_length_c 8.057
_cell_angle_alpha 104.53
_cell_angle_beta 104.53
_cell_angle_gamma 90.00
_space_group_name_H-M_alt 'P 1'
_space_group_IT_number 1
loop_
_space_group_symop_operation_xyz
'x,y,z'
loop_
_atom_site_label
_atom_site_type_symbol
_atom_site_fract_x
_atom_site_fract_y
_atom_site_fract_z
_atom_site_occupancy
Li1 Li 0.500 0.500 0.000 1
Li2 Li 0.874 0.374 0.748 1
Li3 Li 0.374 0.874 0.748 1
Li4 Li 0.126 0.626 0.252 1
Li5 Li 0.626 0.126 0.252 1
Zn1 Zn 0.749 0.749 0.498 1
Zn2 Zn 0.251 0.251 0.502 1
Au1 Au 0.000 0.000 0.000 1

---

# GGA-PBE AlHgBr4, relaxed
# Energy above the most stable polymorph in this dataset: 0 meV per atom
data_AlHgBr4
_cell_length_a 6.631
_cell_length_b 6.631
_cell_length_c 7.298
_cell_angle_alpha 117.02
_cell_angle_beta 117.02
_cell_angle_gamma 90.00
_space_group_name_H-M_alt 'P 1'
_space_group_IT_number 1
loop_
_space_group_symop_operation_xyz
'x,y,z'
loop_
_atom_site_label
_atom_site_type_symbol
_atom_site_fract_x
_atom_site_fract_y
_atom_site_fract_z
_atom_site_occupancy
Al1 Al 0.500 0.500 0.000 1
Hg1 Hg 0.750 0.250 0.500 1
Br1 Br 0.381 0.788 0.234 1
Br2 Br 0.853 0.446 0.234 1
Br3 Br 0.212 0.147 0.766 1
Br4 Br 0.554 0.619 0.766 1

---

# GGA-PBE NaPr2Ru, relaxed
# Energy above the most stable polymorph in this dataset: 36 meV per atom
data_NaPr2Ru
_cell_length_a 4.109
_cell_length_b 4.109
_cell_length_c 9.756
_cell_angle_alpha 77.84
_cell_angle_beta 77.84
_cell_angle_gamma 60.00
_space_group_name_H-M_alt 'P 1'
_space_group_IT_number 1
loop_
_space_group_symop_operation_xyz
'x,y,z'
loop_
_atom_site_label
_atom_site_type_symbol
_atom_site_fract_x
_atom_site_fract_y
_atom_site_fract_z
_atom_site_occupancy
Pr1 Pr 0.721 0.721 0.837 1
Pr2 Pr 0.279 0.279 0.163 1
Ru1 Ru 0.000 0.000 0.000 1
Na1 Na 0.500 0.500 0.500 1

---

# GGA-PBE AlTeH, relaxed
# Total DFT energy (no corrections): -3.588 eV per atom
data_AlTeH
_cell_length_a 6.582
_cell_length_b 6.165
_cell_length_c 6.591
_cell_angle_alpha 106.45
_cell_angle_beta 90.00
_cell_angle_gamma 90.00
_space_group_name_H-M_alt 'P 1'
_space_group_IT_number 1
loop_
_space_group_symop_operation_xyz
'x,y,z'
loop_
_atom_site_label
_atom_site_type_symbol
_atom_site_fract_x
_atom_site_fract_y
_atom_site_fract_z
_atom_site_occupancy
Al1 Al 0.918 0.280 0.945 1
Al2 Al 0.418 0.220 0.055 1
Al3 Al 0.082 0.720 0.055 1
Al4 Al 0.582 0.780 0.945 1
Te1 Te 0.585 0.328 0.722 1
Te2 Te 0.085 0.172 0.278 1
Te3 Te 0.415 0.672 0.278 1
Te4 Te 0.915 0.828 0.722 1
H1 H 0.616 0.086 0.131 1
H2 H 0.116 0.414 0.869 1
H3 H 0.384 0.914 0.869 1
H4 H 0.884 0.586 0.131 1

---

# GGA-PBE PrHo5Cu6, relaxed
# Total DFT energy (no corrections): -4.593 eV per atom
data_PrHo5Cu6
_cell_length_a 4.931
_cell_length_b 6.910
_cell_length_c 7.827
_cell_angle_alpha 90.00
_cell_angle_beta 71.64
_cell_angle_gamma 90.00
_space_group_name_H-M_alt 'P 1'
_space_group_IT_number 1
loop_
_space_group_symop_operation_xyz
'x,y,z'
loop_
_atom_site_label
_atom_site_type_symbol
_atom_site_fract_x
_atom_site_fract_y
_atom_site_fract_z
_atom_site_occupancy
Pr1 Pr 0.000 0.000 0.000 1
Ho1 Ho 0.666 0.500 0.668 1
Ho2 Ho 0.331 0.000 0.337 1
Ho3 Ho 0.000 0.500 0.000 1
Ho4 Ho 0.669 0.000 0.663 1
Ho5 Ho 0.334 0.500 0.332 1
Cu1 Cu 0.829 0.745 0.342 1
Cu2 Cu 0.829 0.255 0.342 1
Cu3 Cu 0.500 0.266 0.000 1
Cu4 Cu 0.500 0.734 0.000 1
Cu5 Cu 0.171 0.745 0.658 1
Cu6 Cu 0.171 0.255 0.658 1

---

# GGA-PBE TaIr2Se, relaxed
# Total DFT energy (no corrections): -8.217 eV per atom
data_TaIr2Se
_cell_length_a 5.383
_cell_length_b 5.383
_cell_length_c 5.383
_cell_angle_alpha 147.62
_cell_angle_beta 129.62
_cell_angle_gamma 61.17
_space_group_name_H-M_alt 'P 1'
_space_group_IT_number 1
loop_
_space_group_symop_operation_xyz
'x,y,z'
loop_
_atom_site_label
_atom_site_type_symbol
_atom_site_fract_x
_atom_site_fract_y
_atom_site_fract_z
_atom_site_occupancy
Ir1 Ir 0.004 0.004 0.000 1
Ir2 Ir 0.726 0.226 0.500 1
Se1 Se 0.503 0.503 0.000 1
Ta1 Ta 0.267 0.767 0.500 1

---

# GGA-PBE HfSiTc2Pd, relaxed
# Total DFT energy (no corrections): -6.724 eV per atom
data_HfSiTc2Pd
_cell_length_a 4.754
_cell_length_b 4.813
_cell_length_c 4.754
_cell_angle_alpha 90.00
_cell_angle_beta 90.00
_cell_angle_gamma 90.00
_space_group_name_H-M_alt 'P 1'
_space_group_IT_number 1
loop_
_space_group_symop_operation_xyz
'x,y,z'
loop_
_atom_site_label
_atom_site_type_symbol
_atom_site_fract_x
_atom_site_fract_y
_atom_site_fract_z
_atom_site_occupancy
Si1 Si 0.500 0.500 0.500 1
Hf1 Hf 0.000 0.500 0.000 1
Tc1 Tc 0.000 0.000 0.500 1
Tc2 Tc 0.500 0.000 0.000 1
Pd1 Pd 0.000 0.000 0.000 1

---

# GGA-PBE HgMoBr2, relaxed
# Energy above the most stable polymorph in this dataset: 639 meV per atom
data_HgMoBr2
_cell_length_a 6.944
_cell_length_b 6.944
_cell_length_c 6.944
_cell_angle_alpha 144.96
_cell_angle_beta 144.96
_cell_angle_gamma 50.40
_space_group_name_H-M_alt 'P 1'
_space_group_IT_number 1
loop_
_space_group_symop_operation_xyz
'x,y,z'
loop_
_atom_site_label
_atom_site_type_symbol
_atom_site_fract_x
_atom_site_fract_y
_atom_site_fract_z
_atom_site_occupancy
Mo1 Mo 0.750 0.250 0.500 1
Hg1 Hg 0.500 0.500 0.000 1
Br1 Br 0.000 0.000 0.000 1
Br2 Br 0.250 0.750 0.500 1

---

# GGA-PBE TaVReOs, relaxed
# Total DFT energy (no corrections): -11.453 eV per atom
data_TaVReOs
_cell_length_a 4.414
_cell_length_b 4.414
_cell_length_c 4.414
_cell_angle_alpha 60.00
_cell_angle_beta 60.00
_cell_angle_gamma 60.00
_space_group_name_H-M_alt 'P 1'
_space_group_IT_number 1
loop_
_space_group_symop_operation_xyz
'x,y,z'
loop_
_atom_site_label
_atom_site_type_symbol
_atom_site_fract_x
_atom_site_fract_y
_atom_site_fract_z
_atom_site_occupancy
Re1 Re 0.750 0.750 0.750 1
V1 V 0.500 0.500 0.500 1
Os1 Os 0.250 0.250 0.250 1
Ta1 Ta 0.000 0.000 0.000 1

---

Number 12 is which compound? TaVReOs